(1)
TaFe2Ge after structural relaxation. Source: OQMD via LeMat-Bulk, functional PBE.

Summary:
Crystal system: hexagonal
Final energy (eV/atom): -8.45

extended XYZ file:
```
8
Lattice="3.019 0.458 2.643 -3.580 1.732 0.704 -2.338 -6.367 3.773" Properties=species:S:1:pos:R:3 pbc="T T T"
Fe 0.598 0.280 2.353
Fe -0.128 -1.699 3.526
Fe -2.770 -2.479 3.594
Fe -3.497 -4.458 4.767
Ge 0.000 0.000 0.000
Ge -1.169 -3.184 1.887
Ta -1.965 -0.285 2.294
Ta -0.934 -3.893 4.826
```

(2)
TaFeGe2 after structural relaxation. Source: OQMD via LeMat-Bulk, functional PBE.

Summary:
Crystal system: cubic
Final energy (eV/atom): -7.09

extended XYZ file:
```
4
Lattice="0.000 3.138 3.138 3.138 0.000 3.138 3.138 3.138 0.000" Properties=species:S:1:pos:R:3 pbc="T T T"
Fe 1.569 1.569 1.569
Ge 0.000 0.000 0.000
Ge 4.708 4.708 4.708
Ta 3.138 3.138 3.138
```

(3)
TaFeGeW after structural relaxation. Source: OQMD via LeMat-Bulk, functional PBE.

Summary:
Excess energy over the best structure of this formula in the dataset (kJ/mol of atoms): 0.0
Crystal system: cubic
Final energy (eV/atom): -9.27

extended XYZ file:
```
4
Lattice="-1.660 -3.335 2.309 -3.818 0.474 2.100 -3.567 -2.100 -1.439" Properties=species:S:1:pos:R:3 pbc="T T T"
Fe -6.783 -3.721 2.227
Ge 0.000 0.000 0.000
Ta -4.522 -2.481 1.485
W -2.261 -1.240 0.742
```

(4)
YTaFeGe after structural relaxation. Source: OQMD via LeMat-Bulk, functional PBE.

Summary:
Excess energy over the best structure of this formula in the dataset (kJ/mol of atoms): 0.0
Crystal system: cubic
Final energy (eV/atom): -7.42

extended XYZ file:
```
4
Lattice="-1.662 0.915 4.201 -4.408 -0.920 0.985 -1.048 -3.455 2.867" Properties=species:S:1:pos:R:3 pbc="T T T"
Fe -5.339 -2.595 6.040
Ge 0.000 0.000 0.000
Ta -3.559 -1.730 4.027
Y -1.780 -0.865 2.013
```

(5)
TaZnFeGe after structural relaxation. Source: OQMD via LeMat-Bulk, functional PBE.

Summary:
Excess energy over the best structure of this formula in the dataset (kJ/mol of atoms): 0.0
Crystal system: cubic
Final energy (eV/atom): -6.35

extended XYZ file:
```
4
Lattice="-4.110 -1.093 0.827 -2.143 1.922 3.238 -3.200 2.787 -0.873" Properties=species:S:1:pos:R:3 pbc="T T T"
Fe -7.090 2.711 2.394
Ge 0.000 0.000 0.000
Ta -4.726 1.808 1.596
Zn -2.363 0.904 0.798
```

(6)
TaZnFeGe after structural relaxation. Source: OQMD via LeMat-Bulk, functional PBE.

Summary:
Excess energy over the best structure of this formula in the dataset (kJ/mol of atoms): 5.1
Crystal system: cubic
Final energy (eV/atom): -6.30

extended XYZ file:
```
4
Lattice="-3.973 -0.574 1.697 -3.072 -2.071 -2.296 -1.303 -3.983 1.199" Properties=species:S:1:pos:R:3 pbc="T T T"
Fe -6.261 -4.971 0.450
Ge 0.000 0.000 0.000
Ta -2.087 -1.657 0.150
Zn -4.174 -3.314 0.300
```

(7)
ZrTaFeGe after structural relaxation. Source: OQMD via LeMat-Bulk, functional PBE.

Summary:
Crystal system: cubic
Final energy (eV/atom): -8.15

extended XYZ file:
```
4
Lattice="2.772 -2.889 2.138 3.165 1.577 2.846 -0.429 -0.670 4.469" Properties=species:S:1:pos:R:3 pbc="T T T"
Fe 4.131 -1.486 7.090
Ge 0.000 0.000 0.000
Ta 2.754 -0.991 4.727
Zr 1.377 -0.495 2.363
```

(8)
Tb4FeGe8 after structural relaxation. Source: OQMD via LeMat-Bulk, functional PBE.

Summary:
Crystal system: monoclinic
Final energy (eV/atom): -5.57

extended XYZ file:
```
52
Lattice="-0.633 0.806 5.669 12.478 -9.411 2.730 7.016 9.064 -0.822" Properties=species:S:1:pos:R:3 pbc="T T T"
Fe 3.557 0.138 2.511
Fe 10.825 -3.643 2.361
Fe 8.037 4.101 5.216
Fe 15.305 0.321 5.067
Ge 3.413 -1.806 1.184
Ge 3.137 -1.391 4.307
Ge 12.146 -8.245 3.233
Ge 6.942 -4.110 4.999
Ge 10.049 -4.791 6.710
Ge 10.398 -5.178 4.148
Ge 6.269 -1.760 6.006
Ge 1.679 1.565 2.103
Ge 8.938 -2.231 1.945
Ge 13.552 -5.519 5.864
Ge 5.372 0.626 1.027
Ge 4.988 1.120 4.112
Ge 3.153 4.167 4.742
Ge 8.400 0.091 2.987
Ge 12.006 -2.359 6.538
Ge 12.246 -2.662 3.967
Ge 6.616 3.120 3.610
Ge 6.856 2.817 1.039
Ge 10.462 0.368 4.590
Ge 15.708 -3.708 2.835
Ge 13.874 -0.662 3.465
Ge 13.490 -0.167 6.550
Ge 5.310 5.978 1.714
Ge 9.924 2.689 5.632
Ge 17.182 -1.107 5.474
Ge 12.592 2.219 1.572
Ge 8.463 5.636 3.429
Ge 8.813 5.249 0.867
Ge 11.920 4.568 2.578
Ge 6.716 8.703 4.344
Ge 15.725 1.850 3.270
Ge 15.449 2.265 6.393
Tb 11.222 -7.420 5.941
Tb 7.880 -4.961 2.297
Tb 5.975 -1.706 3.045
Tb 2.059 1.435 5.089
Tb 9.325 -2.350 4.934
Tb 13.263 -5.462 2.889
Tb 4.072 3.289 2.043
Tb 7.512 0.961 5.690
Tb 11.350 -0.503 1.887
Tb 14.790 -2.830 5.534
Tb 5.599 5.921 4.688
Tb 9.537 2.808 2.643
Tb 16.803 -0.977 2.488
Tb 12.886 2.164 4.532
Tb 10.981 5.420 5.280
Tb 7.640 7.879 1.636
```

(9)
TbFe6Ge6 after structural relaxation. Source: OQMD via LeMat-Bulk, functional PBE.

Summary:
Crystal system: orthorhombic
Final energy (eV/atom): -6.61

extended XYZ file:
```
26
Lattice="0.000 0.000 5.123 8.176 0.000 0.000 4.088 8.865 0.000" Properties=species:S:1:pos:R:3 pbc="T T T"
Fe 2.042 0.000 0.000
Fe 2.042 0.000 2.561
Fe 6.134 0.000 0.000
Fe 6.134 0.000 2.561
Fe 2.046 2.219 3.842
Fe 6.130 2.219 3.842
Fe 2.044 4.432 0.000
Fe 2.044 4.432 2.561
Fe 6.132 4.432 0.000
Fe 6.132 4.432 2.561
Fe 6.134 6.646 1.281
Fe 10.218 6.646 1.281
Ge 4.088 0.733 3.842
Ge 8.176 0.749 3.842
Ge 2.835 2.204 1.281
Ge 5.341 2.204 1.281
Ge 4.088 3.635 3.842
Ge 8.176 3.756 3.842
Ge 4.088 5.109 1.281
Ge 8.176 5.230 1.281
Ge 6.923 6.661 3.842
Ge 9.429 6.661 3.842
Ge 4.088 8.116 1.281
Ge 8.176 8.132 1.281
Tb 8.176 2.251 1.281
Tb 4.088 6.614 3.842
```

(10)
TbTmFe2Ge4 after structural relaxation. Source: OQMD via LeMat-Bulk, functional PBE.

Summary:
Crystal system: orthorhombic
Final energy (eV/atom): -5.98

extended XYZ file:
```
8
Lattice="-0.809 0.956 -3.980 -8.066 -2.839 0.957 -8.303 1.121 1.957" Properties=species:S:1:pos:R:3 pbc="T T T"
Fe -5.650 -0.073 -1.056
Fe -11.117 -1.167 1.979
Ge -4.105 -0.431 0.731
Ge -7.866 -0.305 -0.662
Ge -8.918 -0.936 1.588
Ge -12.649 -0.807 0.189
Tb -14.580 -1.530 2.595
Tm -2.210 0.288 -1.669
```

(11)
FeTc2Ge after structural relaxation. Source: OQMD via LeMat-Bulk, functional PBE.

Summary:
Crystal system: cubic
Final energy (eV/atom): -8.31

extended XYZ file:
```
4
Lattice="0.000 3.001 3.001 3.001 0.000 3.001 3.001 3.001 0.000" Properties=species:S:1:pos:R:3 pbc="T T T"
Fe 1.501 1.501 1.501
Ge 3.001 3.001 3.001
Tc 0.000 0.000 0.000
Tc 4.502 4.502 4.502
```

(12)
Fe2TcGe after structural relaxation. Source: OQMD via LeMat-Bulk, functional PBE.

Summary:
Crystal system: cubic
Final energy (eV/atom): -7.93

extended XYZ file:
```
4
Lattice="1.709 -1.631 3.370 1.498 2.457 2.943 -1.927 0.280 3.626" Properties=species:S:1:pos:R:3 pbc="T T T"
Fe 0.000 0.000 0.000
Fe 0.960 0.829 7.454
Ge 0.640 0.553 4.969
Tc 0.320 0.276 2.485
```

(13)
FeTcGe2 after structural relaxation. Source: OQMD via LeMat-Bulk, functional PBE.

Summary:
Crystal system: cubic
Final energy (eV/atom): -6.66

extended XYZ file:
```
4
Lattice="-3.835 -2.083 0.173 -2.942 1.090 3.038 -3.666 2.074 -1.155" Properties=species:S:1:pos:R:3 pbc="T T T"
Fe -2.611 0.270 0.514
Ge 0.000 0.000 0.000
Ge -7.832 0.810 1.543
Tc -5.221 0.540 1.028
```

(14)
ZnFeTcGe after structural relaxation. Source: OQMD via LeMat-Bulk, functional PBE.

Summary:
Excess energy over the best structure of this formula in the dataset (kJ/mol of atoms): 19.8
Crystal system: cubic
Final energy (eV/atom): -5.85

extended XYZ file:
```
4
Lattice="0.000 3.007 3.007 3.007 0.000 3.007 3.007 3.007 0.000" Properties=species:S:1:pos:R:3 pbc="T T T"
Fe 4.511 4.511 4.511
Ge 0.000 0.000 0.000
Tc 3.007 3.007 3.007
Zn 1.504 1.504 1.504
```

(15)
ZnFeTcGe after structural relaxation. Source: OQMD via LeMat-Bulk, functional PBE.

Summary:
Excess energy over the best structure of this formula in the dataset (kJ/mol of atoms): 0.0
Crystal system: cubic
Final energy (eV/atom): -6.06

extended XYZ file:
```
4
Lattice="0.000 2.991 2.991 2.991 0.000 2.991 2.991 2.991 0.000" Properties=species:S:1:pos:R:3 pbc="T T T"
Fe 4.487 4.487 4.487
Ge 0.000 0.000 0.000
Tc 1.496 1.496 1.496
Zn 2.991 2.991 2.991
```

(16)
FeGeTe after structural relaxation. Source: OQMD via LeMat-Bulk, functional PBE.

Summary:
Crystal system: cubic
Final energy (eV/atom): -5.21

extended XYZ file:
```
3
Lattice="-3.098 -2.792 -0.860 -3.898 0.582 1.611 -3.217 1.111 -2.559" Properties=species:S:1:pos:R:3 pbc="T T T"
Fe 0.000 0.000 0.000
Ge -2.553 -0.275 -0.452
Te -7.659 -0.824 -1.356
```

(17)
FeGeTe after structural relaxation. Source: OQMD via LeMat-Bulk, functional PBE.

Summary:
Crystal system: orthorhombic
Final energy (eV/atom): -5.31

extended XYZ file:
```
12
Lattice="4.649 0.000 0.000 0.000 3.295 0.000 0.000 0.000 16.514" Properties=species:S:1:pos:R:3 pbc="T T T"
Fe 2.792 2.471 3.327
Fe 0.467 2.471 4.930
Fe 4.182 0.824 11.584
Fe 1.858 0.824 13.187
Ge 1.001 0.824 3.189
Ge 3.325 0.824 5.068
Ge 1.324 2.471 11.446
Ge 3.649 2.471 13.325
Te 3.619 0.824 1.425
Te 1.295 0.824 6.832
Te 3.355 2.471 9.682
Te 1.030 2.471 15.089
```

(18)
FeGe2Te4 after structural relaxation. Source: OQMD via LeMat-Bulk, functional PBE.

Summary:
Crystal system: tetragonal
Final energy (eV/atom): -4.29

extended XYZ file:
```
28
Lattice="8.304 0.000 0.000 0.000 8.304 0.000 0.000 0.000 11.224" Properties=species:S:1:pos:R:3 pbc="T T T"
Fe 4.152 2.110 0.000
Fe 6.194 4.152 2.806
Fe 4.152 6.194 5.612
Fe 2.110 4.152 8.418
Ge 0.000 1.995 0.000
Ge 2.215 6.089 1.403
Ge 6.308 0.000 2.806
Ge 2.215 2.215 4.209
Ge 0.000 6.308 5.612
Ge 6.089 2.215 7.015
Ge 1.995 0.000 8.418
Ge 6.089 6.089 9.821
Te 2.285 0.267 0.099
Te 6.065 3.840 0.256
Te 4.464 2.238 2.550
Te 8.036 6.019 2.707
Te 8.036 2.285 2.906
Te 4.464 6.065 3.062
Te 6.065 4.464 5.356
Te 2.285 8.036 5.513
Te 6.019 8.036 5.712
Te 2.238 4.464 5.868
Te 3.840 6.065 8.162
Te 0.267 2.285 8.319
Te 0.267 6.019 8.518
Te 3.840 2.238 8.674
Te 2.238 3.840 10.968
Te 6.019 0.267 11.125
```

(19)
ZnFeGeTe3 after structural relaxation. Source: OQMD via LeMat-Bulk, functional PBE.

Summary:
Excess energy over the best structure of this formula in the dataset (kJ/mol of atoms): 0.0
Crystal system: orthorhombic
Final energy (eV/atom): -3.90

extended XYZ file:
```
12
Lattice="6.769 -1.906 0.000 6.769 1.906 0.000 0.000 0.000 11.810" Properties=species:S:1:pos:R:3 pbc="T T T"
Fe 6.114 0.000 2.952
Fe 7.425 0.000 8.857
Ge 11.073 0.000 2.952
Ge 2.466 0.000 8.857
Te 4.892 0.000 0.675
Te 1.122 0.000 2.952
Te 4.892 0.000 5.230
Te 8.647 0.000 6.580
Te 12.416 0.000 8.857
Te 8.647 0.000 11.135
Zn 0.000 0.000 0.000
Zn 0.000 0.000 5.905
```

(20)
ZnFeGeTe3 after structural relaxation. Source: OQMD via LeMat-Bulk, functional PBE.

Summary:
Excess energy over the best structure of this formula in the dataset (kJ/mol of atoms): 5.6
Crystal system: orthorhombic
Final energy (eV/atom): -3.84

extended XYZ file:
```
12
Lattice="10.134 0.000 0.000 0.000 7.116 1.988 0.000 -7.116 1.988" Properties=species:S:1:pos:R:3 pbc="T T T"
Fe 0.000 0.000 0.000
Fe 5.067 0.000 0.000
Ge 7.601 3.846 1.988
Ge 2.534 -3.846 1.988
Te 2.534 5.794 1.988
Te 0.497 2.030 1.988
Te 4.571 2.030 1.988
Te 5.564 -2.030 1.988
Te 9.638 -2.030 1.988
Te 7.601 -5.794 1.988
Zn 2.534 0.387 1.988
Zn 7.601 -0.387 1.988
```